Entry from the Alexandria database: crystalline P2RhWO at its relaxed geometry (PBE+U).

Summary:
**Density of states at the Fermi level**: 3.0 states/eV/cell
**Energy relative to the lowest polymorph listed for this composition**: 493 meV/atom

Cell: 4.7962 4.7962 3.6654 Å, 90.00 90.00 90.00°
Space group P4/mmm (No. 123)
Inequivalent atoms, fractional coordinates:
P  0.0000  0.5000  0.0000 (multiplicity 2)
Rh  0.0000  0.0000  0.0000 (multiplicity 1)
W  0.5000  0.5000  0.5000 (multiplicity 1)
O  0.0000  0.0000  0.5000 (multiplicity 1)